Here is a relaxed structure of MoIrRu2 from Alexandria via LeMat-Bulk. Energies are from GGA-PBE.

```
data_MoIrRu2
_cell_length_a 4.7881
_cell_length_b 4.3680
_cell_length_c 11.0718
_cell_angle_alpha 90.00
_cell_angle_beta 90.00
_cell_angle_gamma 90.00
_symmetry_space_group_name_H-M 'P n m a'
_symmetry_Int_Tables_number 62
_symmetry_space_group_name_Hall '-P 2ac 2n'
loop_
_atom_site_label
_atom_site_fract_x
_atom_site_fract_y
_atom_site_fract_z
Mo1 0.0812 0.2500 0.1846
Ir1 0.0862 0.2500 0.4390
Ru1 0.0804 0.2500 0.6877
Ru2 0.0899 0.2500 0.9376
```

Computed properties:
Theoretical density = 14064 kg/m³
E above lowest polymorph = 43 meV per atom
Calculated formation energy = -0.124 eV per atom
E_tot = -9.685 eV per atom